[1]
Compound: MgCdPt6
Source: the Alexandria database
Functional: PBE
Structure: optimized geometry

Cell: 3.996 3.996 8.029 Å, 90.00 90.00 90.00°
Space group P4/mmm (No. 123)
Inequivalent atoms, fractional coordinates:
Mg: 0.000 0.000 0.000
Cd: 0.000 0.000 0.500
Pt: 0.000 0.500 0.243
Pt: 0.500 0.500 0.000
Pt: 0.500 0.500 0.500

Results
ΔH_f (0 K) = -3.2 eV/f.u.
Spin magnetization = 0.00 μB per formula unit
Theoretical density = 16.9 g/cm³

---

[2]
Compound: Mg6Cd5Pt
Source: the Alexandria database
Functional: PBE
Structure: optimized geometry

Cell: 4.639 7.466 7.434 Å, 90.00 107.97 90.00°
Space group P2/m (No. 10)
Inequivalent atoms, fractional coordinates:
Mg: 0.000 0.220 0.000
Mg: 0.343 0.236 0.688
Cd: 0.168 0.500 0.337
Cd: 0.173 0.000 0.343
Cd: 0.500 0.500 0.000
Pt: 0.500 0.000 0.000

Results
ΔH_f (0 K) = -2.8 eV/f.u.
Spin magnetization = 0.00 μB per formula unit
Theoretical density = 6.1 g/cm³

---

[3]
Compound: MgCdPt2
Source: the Alexandria database
Functional: PBE
Structure: optimized geometry

Cell: 4.003 4.003 8.463 Å, 90.00 90.00 90.00°
Space group I-4m2 (No. 119)
Inequivalent atoms, fractional coordinates:
Mg: 0.000 0.000 0.000
Cd: 0.000 0.500 0.750
Pt: 0.000 0.000 0.500
Pt: 0.000 0.500 0.250

Results
ΔH_f (0 K) = -2.0 eV/f.u.
Spin magnetization = 0.00 μB per formula unit
Theoretical density = 12.9 g/cm³

---

[4]
Compound: Mg3CdPt
Source: the Alexandria database
Functional: PBE
Structure: optimized geometry

Cell: 5.032 5.032 5.032 Å, 90.00 90.00 90.00°
Space group Pm-3m (No. 221)
Inequivalent atoms, fractional coordinates:
Mg: 0.000 0.000 0.500
Cd: 0.500 0.500 0.500
Pt: 0.000 0.000 0.000

Results
ΔE to the lowest computed polymorph = 0.98 eV/f.u.
ΔH_f (0 K) = -1.3 eV/f.u.
Spin magnetization = 0.00 μB per formula unit
Theoretical density = 5.0 g/cm³

---

[5]
Compound: MgCdPt
Source: the Alexandria database
Functional: PBE
Structure: optimized geometry

Cell: 4.5647 4.5647 2.9508 Å, 90.00 90.00 120.00°
Space group P3m1 (No. 156)
Inequivalent atoms, fractional coordinates:
Mg: 0.0000 0.0000 0.0000
Cd: 0.3333 0.6667 0.6261
Pt: 0.6667 0.3333 0.2404

Results
ΔH_f (0 K) = -1.3 eV/f.u.
Spin magnetization = 0.00 μB per formula unit
Theoretical density = 10.3 g/cm³

---

[6]
Compound: Mg4Cd2Pt
Source: the Alexandria database
Functional: PBE
Structure: optimized geometry

Cell: 4.7145 4.7145 22.8347 Å, 90.00 90.00 120.00°
Space group R-3m (No. 166, hexagonal axes)
Inequivalent atoms, fractional coordinates:
Mg: 0.0000 0.0000 0.1239
Mg: 0.0000 0.0000 0.3722
Cd: 0.0000 0.0000 0.2495
Pt: 0.0000 0.0000 0.0000

Results
ΔH_f (0 K) = -2.0 eV/f.u.
Spin magnetization = 0.00 μB per formula unit
Theoretical density = 5.9 g/cm³

---

[7]
Compound: MgCdPt
Source: the Alexandria database
Functional: PBE
Structure: optimized geometry

Cell: 2.994 3.861 9.254 Å, 90.00 90.00 90.00°
Space group Imm2 (No. 44)
Inequivalent atoms, fractional coordinates:
Mg: 0.000 0.000 0.000
Cd: 0.000 0.000 0.313
Pt: 0.000 0.000 0.637

Results
ΔH_f (0 K) = -1.5 eV/f.u.
Spin magnetization = 0.00 μB per formula unit
Theoretical density = 10.3 g/cm³

---

[8]
Compound: Mg2CdPt2
Source: the Alexandria database
Functional: PBE
Structure: optimized geometry

Cell: 7.679 7.679 3.009 Å, 90.00 90.00 90.00°
Space group P4/mbm (No. 127)
Inequivalent atoms, fractional coordinates:
Mg: 0.148 0.352 0.000
Cd: 0.000 0.000 0.500
Pt: 0.148 0.648 0.500

Results
ΔH_f (0 K) = -3.2 eV/f.u.
Spin magnetization = 0.00 μB per formula unit
Theoretical density = 10.3 g/cm³

---

[9]
Compound: Mg12Cd6Pt
Source: the Alexandria database
Functional: PBE
Structure: optimized geometry

Cell: 11.8452 11.8452 10.1910 Å, 90.00 90.00 120.00°
Space group R-3m (No. 166, hexagonal axes)
Inequivalent atoms, fractional coordinates:
Mg: 0.0601 0.5301 0.1253
Mg: 0.0862 0.1724 0.7421
Cd: 0.0000 0.2528 0.0000
Pt: 0.0000 0.0000 0.5000

Results
ΔH_f (0 K) = -2.8 eV/f.u.
Spin magnetization = 0.00 μB per formula unit
Theoretical density = 4.7 g/cm³

---

[10]
Compound: MgCdPt2
Source: the Alexandria database
Functional: PBE
Structure: optimized geometry

Cell: 2.9191 2.9191 28.0774 Å, 90.00 90.00 120.00°
Space group R3m (No. 160, hexagonal axes)
Inequivalent atoms, fractional coordinates:
Mg: 0.0000 0.0000 0.0000
Cd: 0.0000 0.0000 0.7590
Pt: 0.0000 0.0000 0.2599
Pt: 0.0000 0.0000 0.5088

Results
ΔH_f (0 K) = -1.0 eV/f.u.
Spin magnetization = 0.00 μB per formula unit
Theoretical density = 12.7 g/cm³

---

[11]
Compound: Mg3Cd2Pt
Source: the Alexandria database
Functional: PBE
Structure: optimized geometry

Cell: 4.718 14.386 6.832 Å, 90.00 90.00 90.00°
Space group Cmmm (No. 65)
Inequivalent atoms, fractional coordinates:
Mg: 0.000 0.000 0.237
Mg: 0.000 0.322 0.216
Cd: 0.000 0.166 0.500
Cd: 0.000 0.500 0.000
Cd: 0.000 0.500 0.500
Pt: 0.000 0.154 0.000

Results
ΔH_f (0 K) = -2.3 eV/f.u.
Spin magnetization = 0.00 μB per formula unit
Theoretical density = 7.1 g/cm³

---

[12]
Compound: Mg12Cd3Pt
Source: the Alexandria database
Functional: PBE
Structure: optimized geometry

Cell: 4.342 4.342 17.795 Å, 90.00 90.00 90.00°
Space group P4/mmm (No. 123)
Inequivalent atoms, fractional coordinates:
Mg: 0.000 0.000 0.000
Mg: 0.000 0.000 0.241
Mg: 0.000 0.000 0.500
Mg: 0.000 0.500 0.109
Mg: 0.000 0.500 0.371
Cd: 0.500 0.500 0.243
Cd: 0.500 0.500 0.500
Pt: 0.500 0.500 0.000

Results
ΔH_f (0 K) = -2.7 eV/f.u.
Spin magnetization = 0.00 μB per formula unit
Theoretical density = 4.1 g/cm³

---

[13]
Compound: Mg3CdPt
Source: the Alexandria database
Functional: PBE
Structure: optimized geometry

Cell: 5.933 9.052 15.191 Å, 90.00 90.00 90.00°
Space group Fmmm (No. 69)
Inequivalent atoms, fractional coordinates:
Mg: 0.000 0.000 0.214
Mg: 0.000 0.213 0.396
Cd: 0.234 0.000 0.000
Pt: 0.250 0.250 0.250

Results
ΔE to the lowest computed polymorph = 0.00 eV/f.u.
ΔH_f (0 K) = -2.2 eV/f.u.
Spin magnetization = 0.00 μB per formula unit
Theoretical density = 6.2 g/cm³

---

[14]
Compound: MgCdPt
Source: the Alexandria database
Functional: PBE
Structure: optimized geometry

Cell: 13.958 2.974 5.825 Å, 90.00 111.23 90.00°
Space group C2/m (No. 12)
Inequivalent atoms, fractional coordinates:
Mg: 0.000 0.000 0.243
Cd: 0.180 0.500 0.663
Pt: 0.136 0.500 0.121

Results
ΔH_f (0 K) = -1.3 eV/f.u.
Spin magnetization = 0.00 μB per formula unit
Theoretical density = 9.8 g/cm³

---

[15]
Compound: MgCd2Pt5
Source: the Alexandria database
Functional: PBE
Structure: optimized geometry

Cell: 4.133 4.133 15.553 Å, 90.00 90.00 90.00°
Space group I4/mmm (No. 139)
Inequivalent atoms, fractional coordinates:
Mg: 0.000 0.000 0.000
Cd: 0.000 0.000 0.249
Pt: 0.000 0.000 0.500
Pt: 0.000 0.500 0.120

Results
ΔH_f (0 K) = -3.4 eV/f.u.
Spin magnetization = 0.00 μB per formula unit
Theoretical density = 15.3 g/cm³

---

[16]
Compound: MgCd4Pt15
Source: the Alexandria database
Functional: PBE
Structure: optimized geometry

Cell: 4.008 4.008 20.307 Å, 90.00 90.00 90.00°
Space group P4/mmm (No. 123)
Inequivalent atoms, fractional coordinates:
Mg: 0.000 0.000 0.000
Cd: 0.000 0.000 0.197
Cd: 0.000 0.000 0.399
Pt: 0.000 0.500 0.096
Pt: 0.000 0.500 0.298
Pt: 0.000 0.500 0.500
Pt: 0.500 0.500 0.000
Pt: 0.500 0.500 0.197
Pt: 0.500 0.500 0.399

Results
ΔH_f (0 K) = -5.3 eV/f.u.
Spin magnetization = 0.00 μB per formula unit
Theoretical density = 17.3 g/cm³

---

[17]
Compound: Mg6Cd2Pt
Source: the Alexandria database
Functional: PBE
Structure: optimized geometry

Cell: 8.0418 8.0418 3.3391 Å, 90.00 90.00 120.00°
Space group P-62m (No. 189)
Inequivalent atoms, fractional coordinates:
Mg: 0.0000 0.3664 0.0000
Mg: 0.0000 0.7374 0.5000
Cd: 0.3333 0.6667 0.5000
Pt: 0.0000 0.0000 0.0000

Results
ΔE to the lowest computed polymorph = 0.00 eV/f.u.
ΔH_f (0 K) = -2.8 eV/f.u.
Spin magnetization = 0.00 μB per formula unit
Theoretical density = 5.0 g/cm³

---

[18]
Compound: Mg6CdPt5
Source: the Alexandria database
Functional: PBE
Structure: optimized geometry

Cell: 4.325 7.096 6.800 Å, 90.00 107.59 90.00°
Space group P2/m (No. 10)
Inequivalent atoms, fractional coordinates:
Mg: 0.000 0.232 0.000
Mg: 0.328 0.244 0.657
Cd: 0.500 0.500 0.000
Pt: 0.162 0.500 0.326
Pt: 0.168 0.000 0.334
Pt: 0.500 0.000 0.000

Results
ΔH_f (0 K) = -8.9 eV/f.u.
Spin magnetization = 0.00 μB per formula unit
Theoretical density = 10.3 g/cm³

---

[19]
Compound: MgCdPt2
Source: the Alexandria database
Functional: PBE
Structure: optimized geometry

Cell: 2.966 4.701 4.852 Å, 90.00 90.00 90.00°
Space group Pmm2 (No. 25)
Inequivalent atoms, fractional coordinates:
Mg: 0.000 0.000 0.000
Cd: 0.000 0.500 0.401
Pt: 0.500 0.000 0.513
Pt: 0.500 0.500 0.901

Results
ΔH_f (0 K) = -2.2 eV/f.u.
Spin magnetization = 0.00 μB per formula unit
Theoretical density = 12.9 g/cm³

---

[20]
Compound: MgCdPt
Source: the Alexandria database
Functional: PBE
Structure: optimized geometry

Cell: 9.594 4.477 5.697 Å, 90.00 114.14 90.00°
Space group C2/m (No. 12)
Inequivalent atoms, fractional coordinates:
Mg: 0.195 0.000 0.138
Cd: 0.035 0.500 0.277
Pt: 0.154 0.000 0.639

Results
ΔH_f (0 K) = -1.4 eV/f.u.
Spin magnetization = 0.00 μB per formula unit
Theoretical density = 9.9 g/cm³